The following is a DFT calculation (PBE-GGA) of an optimized crystal structure of TbPmThSn.

## Properties
SG: F-43m
DFT formation energy: -0.66 eV per formula unit

abc: 5.5261 5.5261 5.5261
angles: 60.00 60.00 60.00
With the nearest neighbours (Å) after each atom.
Element x y z (fractional)
Tb 0.7500 0.7500 0.7500  4 Pm 3.38, 4 Th 3.38
Sn 0.2500 0.2500 0.2500  4 Th 3.38, 4 Pm 3.38
Th 0.0000 0.0000 0.0000  4 Sn 3.38, 4 Tb 3.38
Pm 0.5000 0.5000 0.5000  4 Tb 3.38, 4 Sn 3.38

=====

The following is a DFT calculation (PBE-GGA) of an optimized crystal structure of Mg2TlHg.

## Properties
SG: I-42d
DFT formation energy: 0.10 eV per formula unit

abc: 8.0141 8.0141 6.5252
angles: 52.11 52.11 90.00
With the nearest neighbours (Å) after each atom.
Element x y z (fractional)
Mg 0.6070 0.1250 0.2500  2 Hg 2.85, 2 Tl 3.05
Mg 0.1430 0.6250 0.2500  2 Hg 2.85, 2 Tl 3.05
Mg 0.3750 0.3930 0.7500  2 Hg 2.85, 2 Tl 3.05
Mg 0.8750 0.8570 0.7500  2 Hg 2.85, 2 Tl 3.05
Tl 0.0000 0.0000 0.0000  4 Mg 3.05, 2 Hg 3.24
Tl 0.7500 0.2500 0.5000  4 Mg 3.05, 2 Hg 3.24
Hg 0.5000 0.5000 0.0000  4 Mg 2.85
Hg 0.2500 0.7500 0.5000  4 Mg 2.85

=====

The following is a DFT calculation (PBE-GGA) of an optimized crystal structure of GaPPbI2.

## Properties
SG: P4/mmm
uncorrected formation energy: 0.33 eV/atom

abc: 6.3430 5.3881 6.3430
angles: 90.00 90.00 90.00
With the nearest neighbours (Å) after each atom.
Element x y z (fractional)
Pb 0.0000 0.0000 0.0000  2 P 2.69
I 0.0000 0.0000 0.5000  2 Pb 3.17
I 0.5000 0.0000 0.0000  2 Pb 3.17
Ga 0.5000 0.5000 0.5000  8 I 4.16, 4 P 4.49
P 0.0000 0.5000 0.0000  2 Pb 2.69

=====

The following is a DFT calculation (PBE-GGA) of an optimized crystal structure of KLuO3.

## Properties
SG: Pm-3m
uncorrected formation energy: -1.97 eV/atom

abc: 4.3756 4.3756 4.3756
angles: 90.00 90.00 90.00
With the nearest neighbours (Å) after each atom.
Element x y z (fractional)
K 0.0000 0.0000 0.0000  12 O 3.09
Lu 0.5000 0.5000 0.5000  6 O 2.19
O 0.5000 0.5000 0.0000  2 Lu 2.19
O 0.5000 0.0000 0.5000  2 Lu 2.19
O 0.0000 0.5000 0.5000  2 Lu 2.19

=====

The following is a DFT calculation (PBE-GGA) of an optimized crystal structure of K2GaAg2.

## Properties
SG: Immm
ΔE to the lowest computed polymorph: 0 meV/atom
DFT formation energy: -0.03 eV per formula unit

abc: 4.4251 5.9745 6.7483
angles: 116.27 109.14 90.00
With the nearest neighbours (Å) after each atom.
Element x y z (fractional)
K 0.7989 0.2989 0.5978  6 Ag 3.49-3.69, 2 Ga 3.75, 4 K 3.88
K 0.2011 0.7011 0.4022  6 Ag 3.49-3.69, 2 Ga 3.75, 4 K 3.88
Ga 0.0000 0.0000 0.0000  4 Ag 2.68
Ag 0.5000 0.7455 0.0000  2 Ga 2.68, 1 Ag 2.93
Ag 0.5000 0.2545 0.0000  2 Ga 2.68, 1 Ag 2.93

=====

The following is a DFT calculation (PBE-GGA) of an optimized crystal structure of BaYAg2.

## Properties
SG: P4mm
ΔE to the lowest computed polymorph: 174 meV/atom
DFT formation energy: -0.30 eV per formula unit

abc: 3.8001 3.8001 8.3459
angles: 90.00 90.00 89.97
With the nearest neighbours (Å) after each atom.
Element x y z (fractional)
Ag 0.0000 0.0000 0.0237  4 Ag 3.02, 4 Y 3.11
Ag 0.5000 0.5000 0.1899  1 Y 2.96, 4 Ag 3.02
Ba 0.0000 0.0000 0.4509  5 Ag 3.46-3.57, 4 Ba 3.80
Y 0.5000 0.5000 0.8354  5 Ag 2.96-3.11

=====

In the order shown, the computed total DFT energy (no corrections) values come out to -5.366; -1.440; -2.721; -6.065; -2.190; -3.597 eV/atom.